Computed, not measured: an optimized crystal structure of K4TlAs at the PBE level of DFT.

It has space group F-43m (No. 216), with a = 9.936 Å, b = 9.936 Å, c = 9.936 Å, α = 90.00°, β = 90.00° and γ = 90.00°. Symmetry generates all atoms from K at (0.123, 0.123, 0.377), Tl at (0.000, 0.000, 0.000) and As at (0.250, 0.250, 0.750).

The calculation puts the density at 2950 kg/m3. The value obtained for the calculated formation energy is 1.524 eV/f.u. Its crystal system is cubic.